(1)
The following is a PBE+U calculation of a relaxed Ba2TlCoF crystal, from the Alexandria database.

```
Ba2TlCoF
1.0
-3.742 4.423 0.406
-3.148 -2.398 -2.892
-2.411 -2.468 4.671
Tl Co Ba F
1 1 2 1
Direct
0.000 0.500 0.000 Tl
0.000 0.000 0.000 Co
0.000 0.000 0.500 Ba
0.500 0.000 0.000 Ba
0.500 0.500 0.500 F
```

Summary:
ρ (g/cm3): 5.59
Density of states at the Fermi level (states/eV/f.u.): 2.421

***

(2)
The following is a PBE+U calculation of a relaxed BaTl2Co3F12 crystal, from the Alexandria database.

```
BaTl2Co3F12
1.0
7.158 -0.265 -0.188
3.305 6.355 -0.188
3.305 1.924 6.060
Ba Tl Co F
1 2 3 12
Direct
0.000 0.000 0.000 Ba
0.614 0.614 0.614 Tl
0.386 0.386 0.386 Tl
0.500 0.000 0.000 Co
0.000 0.500 0.000 Co
0.000 0.000 0.500 Co
0.266 0.266 0.899 F
0.864 0.864 0.445 F
0.445 0.864 0.864 F
0.899 0.266 0.266 F
0.864 0.445 0.864 F
0.266 0.899 0.266 F
0.734 0.734 0.101 F
0.136 0.136 0.555 F
0.555 0.136 0.136 F
0.101 0.734 0.734 F
0.136 0.555 0.136 F
0.734 0.101 0.734 F
```

Summary:
ρ (g/cm3): 5.51
Density of states at the Fermi level (states/eV/f.u.): 4.590

***

(3)
The following is a PBE+U calculation of a relaxed BaZn2CoF crystal, from the Alexandria database.

```
BaZn2CoF
1.0
-0.022 -4.967 1.302
4.697 -0.458 -1.667
1.773 1.215 4.663
Zn Co Ba F
2 1 1 1
Direct
0.000 0.000 0.500 Zn
0.500 0.000 0.000 Zn
0.500 0.500 0.500 Co
0.000 0.500 0.000 Ba
0.000 0.000 0.000 F
```

Summary:
ρ (g/cm3): 4.36
Density of states at the Fermi level (states/eV/f.u.): 1.522

***

(4)
The following is a PBE+U calculation of a relaxed BaZn2CoF8 crystal, from the Alexandria database.

```
BaZn2CoF8
1.0
4.560 0.162 0.087
0.216 5.049 -0.218
0.104 -0.314 7.891
Ba Zn Co F
1 2 1 8
Direct
0.000 0.000 0.500 Ba
0.469 0.456 0.811 Zn
0.531 0.544 0.189 Zn
0.000 0.000 0.000 Co
0.143 0.770 0.185 F
0.669 0.724 0.985 F
0.816 0.236 0.215 F
0.857 0.230 0.815 F
0.331 0.276 0.015 F
0.184 0.764 0.785 F
0.560 0.724 0.416 F
0.440 0.276 0.584 F
```

Summary:
ρ (g/cm3): 4.39
Density of states at the Fermi level (states/eV/f.u.): 0.000

***

(5)
The following is a PBE+U calculation of a relaxed BaZnCo2F8 crystal, from the Alexandria database.

```
BaZnCo2F8
1.0
-3.691 0.673 -2.623
-2.674 -3.726 2.182
-2.970 4.516 5.703
Ba Zn Co F
1 1 2 8
Direct
0.000 0.000 0.500 Ba
0.000 0.000 0.000 Zn
0.520 0.532 0.808 Co
0.480 0.468 0.192 Co
0.177 0.759 0.217 F
0.663 0.722 0.012 F
0.851 0.224 0.183 F
0.823 0.241 0.783 F
0.337 0.278 0.988 F
0.149 0.776 0.817 F
0.558 0.725 0.584 F
0.442 0.275 0.416 F
```

Summary:
ρ (g/cm3): 4.33
Density of states at the Fermi level (states/eV/f.u.): 0.000

***

(6)
The following is a PBE+U calculation of a relaxed BaZnCoF7 crystal, from the Alexandria database.

```
BaZnCoF7
1.0
10.013 0.000 0.000
0.000 5.697 0.007
0.000 0.529 9.605
Ba Zn Co F
4 4 4 28
Direct
0.315 0.734 0.500 Ba
0.815 0.266 0.000 Ba
0.685 0.266 0.500 Ba
0.185 0.734 0.000 Ba
0.400 0.302 0.810 Zn
0.900 0.698 0.690 Zn
0.100 0.302 0.310 Zn
0.600 0.698 0.190 Zn
0.612 0.804 0.809 Co
0.388 0.196 0.191 Co
0.888 0.804 0.309 Co
0.112 0.196 0.691 Co
0.443 0.891 0.123 F
0.049 0.634 0.369 F
0.710 0.525 0.749 F
0.290 0.475 0.251 F
0.456 0.114 0.364 F
0.811 0.740 0.491 F
0.779 0.976 0.749 F
0.956 0.886 0.136 F
0.451 0.634 0.869 F
0.210 0.475 0.751 F
0.057 0.891 0.623 F
0.557 0.109 0.877 F
0.279 0.024 0.751 F
0.958 0.617 0.880 F
0.544 0.886 0.636 F
0.044 0.114 0.864 F
0.221 0.024 0.251 F
0.943 0.109 0.377 F
0.458 0.383 0.620 F
0.951 0.366 0.631 F
0.042 0.383 0.120 F
0.721 0.976 0.249 F
0.542 0.617 0.380 F
0.311 0.260 0.009 F
0.189 0.260 0.509 F
0.689 0.740 0.991 F
0.549 0.366 0.131 F
0.790 0.525 0.249 F
```

Summary:
ρ (g/cm3): 4.78
Density of states at the Fermi level (states/eV/f.u.): 0.000

***

(7)
The following is a PBE+U calculation of a relaxed BaZr2CoF crystal, from the Alexandria database.

```
BaZr2CoF
1.0
-0.916 -4.431 0.799
2.651 -1.341 -4.397
3.873 -0.360 2.445
Co Ba Zr F
1 1 2 1
Direct
0.500 0.500 0.500 Co
0.000 0.500 0.000 Ba
0.000 0.000 0.500 Zr
0.500 0.000 0.000 Zr
0.000 0.000 0.000 F
```

Summary:
ρ (g/cm3): 5.90
Density of states at the Fermi level (states/eV/f.u.): 5.116

***

Quick rundown of E, same order as above: -3.101; -4.712; -2.630; -4.650; -4.908; -4.806; -5.303 eV per atom
Quick rundown of total magnetic moment, same order as above: 0.0; 7.0; 2.0; 3.0; 6.0; 4.0; 1.3 μB per formula unit